CaSe2 | PBE | optimized geometry

Properties
Magnetic moment (μB/atom): 0.00
Formation energy from raw total energies (eV per atom): -0.8289
Uncorrected energy (eV/atom): -3.82
Fermi-level density of states (states/eV per cell): 1.26
Crystal system: hexagonal

Unit cell a=4.788 b=4.788 c=3.839 alpha=90.00 beta=90.00 gamma=120.00
Positions (direct):
Ca 0.000 0.000 0.000
Se 0.333 0.667 0.500
Se 0.667 0.333 0.500

---

CaSe3 | PBE | optimized geometry

Properties
Magnetic moment (μB/atom): 0.06
Formation energy from raw total energies (eV per atom): -0.8044
Uncorrected energy (eV/atom): -3.92
Fermi-level density of states (states/eV per cell): 5.43
Crystal system: trigonal

Unit cell a=5.080 b=5.080 c=5.080 alpha=109.37 beta=109.37 gamma=109.37
Positions (direct):
Ca 0.000 0.000 0.000
Se 0.000 0.500 0.500
Se 0.500 0.000 0.500
Se 0.500 0.500 0.000

---

CaSiSe2 | PBE | optimized geometry

Properties
Magnetic moment (μB/atom): 0.00
Formation energy from raw total energies (eV per atom): -0.0561
Uncorrected energy (eV/atom): -3.65
Fermi-level density of states (states/eV per cell): 3.09
Crystal system: cubic

Unit cell a=5.043 b=5.043 c=5.043 alpha=60.00 beta=60.00 gamma=60.00
Positions (direct):
Ca 0.000 0.000 0.000
Si 0.250 0.250 0.250
Se 0.500 0.500 0.500
Se 0.750 0.750 0.750

---

> Which of these has the highest formation energy from raw total energies?

CaSiSe2